# 1
Here is a relaxed ZnGe2Bi2Pt7 crystal from the Alexandria database. Energies are from PBE.

Unit cell a=3.968 b=3.968 c=15.534 alpha=97.30 beta=97.30 gamma=89.98
Fractional positions:
Zn (0.000, 0.000, 0.000)
Ge (0.385, 0.385, 0.769)
Ge (0.615, 0.615, 0.231)
Bi (0.211, 0.211, 0.421)
Bi (0.789, 0.789, 0.579)
Pt (0.065, 0.565, 0.130)
Pt (0.304, 0.304, 0.609)
Pt (0.435, 0.935, 0.870)
Pt (0.500, 0.500, 0.000)
Pt (0.565, 0.065, 0.130)
Pt (0.696, 0.696, 0.391)
Pt (0.935, 0.435, 0.870)

E_tot   -5.365 eV per atom
Density   13.8 g/cm³
Space-group type   C2/m (12)
Total magnetization   0.000 μB per atom
E_form   -0.319 eV per atom

---

# 2
Here is a relaxed Pu4GeBi2 crystal from the Alexandria database. Energies are from PBE.

Unit cell a=8.018 b=8.018 c=8.018 alpha=109.26 beta=109.26 gamma=109.90
Fractional positions:
Pu (0.147, 0.035, 0.744)
Pu (0.153, 0.541, 0.756)
Pu (0.291, 0.403, 0.256)
Pu (0.459, 0.215, 0.612)
Pu (0.597, 0.853, 0.888)
Pu (0.603, 0.847, 0.388)
Pu (0.785, 0.397, 0.244)
Pu (0.965, 0.709, 0.112)
Ge (0.250, 0.750, 0.500)
Ge (0.500, 0.500, 0.000)
Bi (0.375, 0.013, 0.138)
Bi (0.763, 0.625, 0.638)
Bi (0.875, 0.237, 0.862)
Bi (0.987, 0.125, 0.362)

E_tot   -10.329 eV per atom
Density   12.3 g/cm³
Space-group type   I-42d (122)
Total magnetization   3.143 μB per atom
E_form   -0.371 eV per atom

---

- Which of these has the lowest E_tot?
  Pu4GeBi2